[1]
## PuHfTe2 (PBE)

Data for a relaxed PuHfTe2 crystal.

Output
Its raw total energy is -8.335 eV/atom. Its space-group type is P4/mmm. As for the energy above the lowest structure with this stoichiometry: 0.00 eV/f.u.

POSCAR file:
```
PuHfTe2
1.0
-2.670 -2.073 -1.290
-1.261 -0.466 3.359
-4.343 6.085 -0.786
Hf Te Pu
1 2 1
Direct
0.500 0.500 0.000
0.000 0.000 0.772
0.000 0.000 0.228
0.500 0.500 0.500
```


[2]
## PuAl11Cr (PBE)

Data for a relaxed PuAl11Cr crystal.

Output
Its raw total energy is -5.141 eV/atom. Its space-group type is C2/m.

POSCAR file:
```
PuAl11Cr
1.0
-1.548 -0.794 4.938
-5.612 -4.220 0.259
3.063 -5.476 2.854
Al Cr Pu
11 1 1
Direct
0.500 0.000 0.500
0.502 0.221 0.788
0.027 0.639 0.343
0.498 0.779 0.212
0.290 0.221 0.212
0.370 0.639 0.657
0.710 0.779 0.788
0.630 0.361 0.343
0.973 0.361 0.657
0.000 0.000 0.500
0.000 0.500 0.000
0.500 0.500 0.000
0.000 0.000 0.000
```


[3]
## CrSb2IrAu (PBE)

Data for a relaxed CrSb2IrAu crystal.

Output
Its raw total energy is -5.036 eV/atom. Its space-group type is P4/mmm.

POSCAR file:
```
CrSb2IrAu
1.0
-2.417 -4.050 2.038
1.337 -2.615 -3.610
4.287 -1.290 2.522
Ir Cr Sb Au
1 1 2 1
Direct
0.000 0.000 0.000
0.000 0.500 0.000
0.000 0.000 0.500
0.500 0.000 0.000
0.500 0.500 0.500
```


[4]
## LiMn2Al (PBE)

Data for a relaxed LiMn2Al crystal.

Output
Its raw total energy is -5.848 eV/atom. Its space-group type is I-4m2.

POSCAR file:
```
LiMn2Al
1.0
-1.160 0.672 -4.511
-4.677 0.177 -0.497
2.979 2.227 2.884
Mn Al Li
2 1 1
Direct
0.000 0.000 0.000
0.250 0.750 0.500
0.500 0.500 0.000
0.750 0.250 0.500
```


[5]
## CuTcW2 (PBE)

Data for a relaxed CuTcW2 crystal.

Output
Its raw total energy is -9.749 eV/atom. Its space-group type is P4/mmm. As for the energy above the lowest structure with this stoichiometry: 0.59 eV/f.u.

POSCAR file:
```
CuTcW2
1.0
2.759 0.000 0.000
0.000 2.759 0.000
0.000 0.000 7.834
W Cu Tc
2 1 1
Direct
0.000 0.000 0.497
0.000 0.000 0.003
0.500 0.500 0.250
0.500 0.500 0.750
```


[6]
## K2NaHgBi (PBE)

Data for a relaxed K2NaHgBi crystal.

Output
Its raw total energy is -1.738 eV/atom. Its space-group type is P4/mmm. As for the energy above the lowest structure with this stoichiometry: 0.00 eV/f.u.

POSCAR file:
```
K2NaHgBi
1.0
6.886 0.000 0.000
0.000 6.886 0.000
0.000 0.000 6.007
K Na Bi Hg
2 1 1 1
Direct
0.000 0.500 0.000
0.500 0.000 0.000
0.000 0.000 0.500
0.000 0.000 0.000
0.500 0.500 0.500
```


[7]
## TiZnO (PBE)

Data for a relaxed TiZnO crystal.

Output
Its raw total energy is -6.040 eV/atom. Its space-group type is Cmcm.

POSCAR file:
```
TiZnO
1.0
3.981 0.000 0.000
0.000 3.029 0.000
0.000 1.515 7.817
O Ti Zn
2 2 2
Direct
0.250 0.297 0.406
0.750 0.703 0.594
0.750 0.294 0.412
0.250 0.706 0.588
0.250 0.055 0.889
0.750 0.945 0.111
```


[8]
## Hg2SeBr (PBE)

Data for a relaxed Hg2SeBr crystal.

Output
Its raw total energy is -1.505 eV/atom. Its space-group type is Imm2. As for the energy above the lowest structure with this stoichiometry: 0.76 eV/f.u.

POSCAR file:
```
Hg2SeBr
1.0
7.726 0.028 0.005
5.672 5.247 -0.005
-6.658 -2.742 2.802
Br Se Hg
1 1 2
Direct
0.280 0.780 0.500
0.535 0.535 0.000
0.692 0.192 0.500
0.994 0.994 0.000
```


[9]
## Th4CoRuSe2 (PBE)

Data for a relaxed Th4CoRuSe2 crystal.

Output
Its raw total energy is -7.633 eV/atom. Its space-group type is P2/m.

POSCAR file:
```
Th4CoRuSe2
1.0
4.061 0.000 0.000
0.000 7.691 -0.407
0.000 2.477 6.572
Se Th Ru Co
2 4 1 1
Direct
0.500 0.000 0.500
0.000 0.000 0.000
0.000 0.288 0.243
0.500 0.709 0.267
0.500 0.291 0.733
0.000 0.712 0.757
0.500 0.500 0.000
0.000 0.500 0.500
```


[10]
## LaZr4Tc (PBE)

Data for a relaxed LaZr4Tc crystal.

Output
Its raw total energy is -7.753 eV/atom. Its space-group type is F-43m.

POSCAR file:
```
LaZr4Tc
1.0
-4.707 -2.400 -2.387
-5.128 2.677 0.380
-2.388 2.374 -4.719
La Zr Tc
1 4 1
Direct
0.750 0.750 0.750
0.878 0.374 0.374
0.374 0.374 0.374
0.374 0.374 0.878
0.374 0.878 0.374
0.000 0.000 0.000
```


[11]
## PrGe2PtRh2 (PBE)

Data for a relaxed PrGe2PtRh2 crystal.

Output
Its raw total energy is -6.020 eV/atom. Its space-group type is P4/mmm.

POSCAR file:
```
PrGe2PtRh2
1.0
4.678 0.000 0.000
0.000 4.678 0.000
0.000 0.000 5.656
Pr Ge Rh Pt
1 2 2 1
Direct
0.000 0.000 0.500
0.500 0.000 0.000
0.000 0.500 0.000
0.500 0.500 0.746
0.500 0.500 0.254
0.000 0.000 0.000
```


[12]
## Ti2Ag2PdSe6 (PBE)

Data for a relaxed Ti2Ag2PdSe6 crystal.

Output
Its raw total energy is -4.915 eV/atom. Its space-group type is C2/m.

POSCAR file:
```
Ti2Ag2PdSe6
1.0
-4.881 0.652 -3.897
-0.118 -4.824 4.019
-0.955 5.816 4.598
Se Ti Pd Ag
6 2 1 2
Direct
0.255 0.255 0.319
0.534 0.872 0.263
0.872 0.534 0.263
0.128 0.466 0.737
0.745 0.745 0.681
0.466 0.128 0.737
0.301 0.699 0.500
0.699 0.301 0.500
0.000 0.000 0.500
0.140 0.860 0.000
0.860 0.140 0.000
```


[13]
## Zn2Si2GeRh5 (PBE)

Data for a relaxed Zn2Si2GeRh5 crystal.

Output
Its raw total energy is -5.978 eV/atom. Its space-group type is P4/mbm.

POSCAR file:
```
Zn2Si2GeRh5
1.0
-1.636 2.225 1.886
-0.701 -6.304 6.828
8.097 2.946 3.551
Rh Si Zn Ge
10 4 4 2
Direct
0.500 0.086 0.803
0.500 0.697 0.414
0.500 0.586 0.697
0.500 0.914 0.197
0.500 0.000 0.500
0.500 0.303 0.586
0.500 0.500 0.000
0.500 0.414 0.303
0.500 0.197 0.086
0.500 0.803 0.914
0.000 0.632 0.868
0.000 0.868 0.368
0.000 0.132 0.632
0.000 0.368 0.132
0.000 0.669 0.169
0.000 0.331 0.831
0.000 0.831 0.669
0.000 0.169 0.331
0.000 0.500 0.500
0.000 0.000 0.000
```


[14]
## ZnFeN2 (PBE)

Data for a relaxed ZnFeN2 crystal.

Output
Its raw total energy is -6.489 eV/atom. Its space-group type is I-42d.

POSCAR file:
```
ZnFeN2
1.0
-2.226 -3.047 2.336
3.814 -1.444 1.751
0.356 0.618 5.361
Fe N Zn
2 4 2
Direct
0.250 0.750 0.500
0.500 0.500 0.000
0.375 0.421 0.750
0.579 0.125 0.250
0.171 0.625 0.250
0.875 0.829 0.750
0.750 0.250 0.500
0.000 0.000 0.000
```


[15]
## SrAc8Pb6 (PBE)

Data for a relaxed SrAc8Pb6 crystal.

Output
Its raw total energy is -4.197 eV/atom. Its space-group type is R-3.

POSCAR file:
```
SrAc8Pb6
1.0
-6.319 -6.059 5.012
2.525 -9.616 1.709
1.764 -3.348 8.328
Pb Ac Sr
6 8 1
Direct
0.735 0.404 0.793
0.265 0.596 0.207
0.596 0.932 0.207
0.932 0.265 0.207
0.068 0.735 0.793
0.404 0.068 0.793
0.666 0.666 0.002
0.770 0.101 0.697
0.101 0.432 0.697
0.568 0.230 0.303
0.334 0.334 0.998
0.899 0.568 0.303
0.230 0.899 0.303
0.432 0.770 0.697
0.000 0.000 0.000
```


[16]
## MgHgOs2 (PBE)

Data for a relaxed MgHgOs2 crystal.

Output
Its raw total energy is -5.173 eV/atom. Its space-group type is Fm-3m. As for the energy above the lowest structure with this stoichiometry: 2.90 eV/f.u.

POSCAR file:
```
MgHgOs2
1.0
0.093 -3.441 -2.923
-1.554 -4.056 1.237
-3.851 -1.575 -1.757
Os Mg Hg
2 1 1
Direct
0.250 0.250 0.250
0.750 0.750 0.750
0.000 0.000 0.000
0.500 0.500 0.500
```


[17]
## SmTm2Ga (PBE)

Data for a relaxed SmTm2Ga crystal.

Output
Its raw total energy is -4.365 eV/atom. Its space-group type is R3m. As for the energy above the lowest structure with this stoichiometry: 0.39 eV/f.u.

POSCAR file:
```
SmTm2Ga
1.0
3.569 0.000 0.000
1.785 3.091 0.000
1.785 1.030 10.187
Ga Tm Sm
1 2 1
Direct
0.666 0.666 0.001
0.263 0.263 0.211
0.070 0.070 0.789
0.500 0.500 0.499
```


[18]
## LaTh2Zn (PBE)

Data for a relaxed LaTh2Zn crystal.

Output
Its raw total energy is -5.076 eV/atom. Its space-group type is R-3m. As for the energy above the lowest structure with this stoichiometry: 0.85 eV/f.u.

POSCAR file:
```
LaTh2Zn
1.0
3.443 0.000 0.000
1.721 2.981 0.000
1.721 0.994 11.742
Th La Zn
2 1 1
Direct
0.903 0.903 0.292
0.097 0.097 0.708
0.000 0.000 0.000
0.500 0.500 0.500
```


[19]
## LaCd4Re (PBE)

Data for a relaxed LaCd4Re crystal.

Output
Its raw total energy is -3.191 eV/atom. Its space-group type is F-43m.

POSCAR file:
```
LaCd4Re
1.0
0.000 4.031 4.031
4.031 0.000 4.031
4.031 4.031 0.000
Cd Re La
4 1 1
Direct
0.374 0.374 0.374
0.878 0.374 0.374
0.374 0.878 0.374
0.374 0.374 0.878
0.000 0.000 0.000
0.750 0.750 0.750
```


[20]
## TePbSeN2 (PBE)

Data for a relaxed TePbSeN2 crystal.

Output
Its raw total energy is -3.779 eV/atom. Its space-group type is P4/mmm. As for the energy above the lowest structure with this stoichiometry: 2.64 eV/f.u.

POSCAR file:
```
TePbSeN2
1.0
-1.183 4.064 1.163
-4.053 -1.434 0.888
1.820 -1.263 6.264
Se Te N Pb
1 1 2 1
Direct
0.500 0.500 0.500
0.000 0.000 0.500
0.500 0.000 0.000
0.000 0.500 0.000
0.000 0.000 0.000
```